Entry A
First-principles (PBEsol) data for a geometry-optimized Al3Ag2 structure, as listed in the Alexandria database.

symmetry = C2/m (12)
density = 6.04 g cm⁻³

Cell lengths 4.706, 4.706, 6.877 Å; angles 117.45, 117.45, 37.84 degrees
Atoms (fractional coordinates):
Al  0.000  0.000  0.000
Al  0.402  0.402  0.605
Al  0.598  0.598  0.395
Ag  0.196  0.196  0.791
Ag  0.804  0.804  0.209


Entry B
First-principles (PBEsol) data for a geometry-optimized Al3Ag2 structure, as listed in the Alexandria database.

symmetry = Cm (8)
density = 6.09 g cm⁻³

Cell lengths 6.397, 6.397, 9.079 Å; angles 99.28, 99.28, 26.22 degrees
Atoms (fractional coordinates):
Al  0.000  0.000  0.000
Al  0.099  0.099  0.306
Al  0.210  0.210  0.612
Al  0.401  0.401  0.209
Al  0.502  0.502  0.510
Al  0.699  0.699  0.101
Ag  0.304  0.304  0.918
Ag  0.604  0.604  0.802
Ag  0.798  0.798  0.399
Ag  0.902  0.902  0.703


Short version: entry A is the least stable of them.


Entry A
First-principles (PBEsol) data for a geometry-optimized Al5Ag2 structure, as listed in the Alexandria database.

symmetry = R-3m (166)
density = 5.13 g cm⁻³

Cell lengths 15.690, 15.690, 15.690 Å; angles 10.60, 10.60, 10.60 degrees
Atoms (fractional coordinates):
Al  0.000  0.000  0.000
Al  0.143  0.143  0.143
Al  0.285  0.285  0.285
Al  0.715  0.715  0.715
Al  0.857  0.857  0.857
Ag  0.429  0.429  0.429
Ag  0.571  0.571  0.571


Entry B
First-principles (PBEsol) data for a geometry-optimized Al5Ag2 structure, as listed in the Alexandria database.

symmetry = I4/mmm (139)
density = 5.13 g cm⁻³

Cell lengths 13.872, 13.872, 13.872 Å; angles 168.10, 168.10, 16.86 degrees
Atoms (fractional coordinates):
Al  0.000  0.000  0.000
Al  0.142  0.142  0.000
Al  0.286  0.286  0.000
Al  0.714  0.714  0.000
Al  0.858  0.858  0.000
Ag  0.429  0.429  0.000
Ag  0.571  0.571  0.000


Short version: entry B is the least stable of them.